## w
Computed, not measured: a relaxed structure of HfGeIO2 at the PBE level of DFT.

## Properties
**Crystal system**: tetragonal

a = 4.035 Å, b = 4.035 Å, c = 5.473 Å
α = 90.00°, β = 90.00°, γ = 90.00°
Atoms (fractional coordinates):
Hf 0.000 0.000 0.000
Ge 0.500 0.500 0.500
I 0.500 0.500 0.000
O 0.000 0.500 0.500
O 0.500 0.000 0.500

## x
Computed, not measured: a relaxed structure of HfGeIO2 at the PBE level of DFT.

## Properties
**Crystal system**: tetragonal

a = 4.107 Å, b = 4.107 Å, c = 6.147 Å
α = 90.00°, β = 90.00°, γ = 90.00°
Atoms (fractional coordinates):
Hf 0.000 0.000 0.000
Ge 0.500 0.500 0.500
I 0.000 0.000 0.500
O 0.000 0.500 0.000
O 0.500 0.000 0.000

It is x that is most stable; the runner-up trails by 128.2 kJ/mol of atoms.

## w
Computed, not measured: a relaxed structure of HfGeSbI2 at the PBE level of DFT.

## Properties
**Crystal system**: tetragonal

a = 5.449 Å, b = 5.449 Å, c = 5.547 Å
α = 90.00°, β = 90.00°, γ = 90.00°
Atoms (fractional coordinates):
Hf 0.000 0.000 0.000
Ge 0.500 0.500 0.500
Sb 0.500 0.500 0.000
I 0.000 0.500 0.500
I 0.500 0.000 0.500

## x
Computed, not measured: a relaxed structure of HfGeSbI2 at the PBE level of DFT.

## Properties
**Crystal system**: tetragonal

a = 5.549 Å, b = 5.549 Å, c = 5.783 Å
α = 90.00°, β = 90.00°, γ = 90.00°
Atoms (fractional coordinates):
Hf 0.000 0.000 0.000
Ge 0.500 0.500 0.500
Sb 0.000 0.000 0.500
I 0.000 0.500 0.000
I 0.500 0.000 0.000

It is x that is most stable; the runner-up trails by 46.0 kJ/mol of atoms.

## w
Computed, not measured: a relaxed structure of HfGeTeI2 at the PBE level of DFT.

## Properties
**Crystal system**: tetragonal

a = 5.475 Å, b = 5.475 Å, c = 5.642 Å
α = 90.00°, β = 90.00°, γ = 90.00°
Atoms (fractional coordinates):
Hf 0.000 0.000 0.000
Ge 0.500 0.500 0.500
Te 0.500 0.500 0.000
I 0.000 0.500 0.500
I 0.500 0.000 0.500

## x
Computed, not measured: a relaxed structure of HfGeTeI2 at the PBE level of DFT.

## Properties
**Crystal system**: tetragonal

a = 5.661 Å, b = 5.661 Å, c = 5.614 Å
α = 90.00°, β = 90.00°, γ = 90.00°
Atoms (fractional coordinates):
Hf 0.000 0.000 0.000
Ge 0.500 0.500 0.500
Te 0.000 0.000 0.500
I 0.000 0.500 0.000
I 0.500 0.000 0.000

It is x that is most stable; the runner-up trails by 52.6 kJ/mol of atoms.

## w
Computed, not measured: a relaxed structure of HfGeIr3 at the PBE level of DFT.

## Properties
**Crystal system**: cubic

a = 4.534 Å, b = 4.534 Å, c = 4.534 Å
α = 90.00°, β = 90.00°, γ = 90.00°
Atoms (fractional coordinates):
Hf 0.000 0.000 0.000
Ge 0.500 0.500 0.500
Ir 0.000 0.500 0.500
Ir 0.500 0.000 0.500
Ir 0.500 0.500 0.000

## x
Computed, not measured: a relaxed structure of HfGeIr3 at the PBE level of DFT.

## Properties
**Crystal system**: cubic

a = 4.856 Å, b = 4.856 Å, c = 4.856 Å
α = 90.00°, β = 90.00°, γ = 90.00°
Atoms (fractional coordinates):
Hf 0.000 0.000 0.000
Ge 0.500 0.500 0.500
Ir 0.000 0.000 0.500
Ir 0.000 0.500 0.000
Ir 0.500 0.000 0.000

It is w that is most stable; the runner-up trails by 93.5 kJ/mol of atoms.

## w
Computed, not measured: a relaxed structure of Hf3GeIr at the PBE level of DFT.

## Properties
**Crystal system**: cubic

a = 5.003 Å, b = 5.003 Å, c = 5.003 Å
α = 90.00°, β = 90.00°, γ = 90.00°
Atoms (fractional coordinates):
Hf 0.000 0.000 0.500
Hf 0.000 0.500 0.000
Hf 0.500 0.000 0.000
Ge 0.500 0.500 0.500
Ir 0.000 0.000 0.000

## x
Computed, not measured: a relaxed structure of Hf3GeIr at the PBE level of DFT.

## Properties
**Crystal system**: triclinic

a = 3.525 Å, b = 7.388 Å, c = 7.750 Å
α = 89.07°, β = 89.98°, γ = 76.27°
Atoms (fractional coordinates):
Hf 0.050 0.399 0.196
Hf 0.229 0.042 0.830
Hf 0.408 0.682 0.418
Hf 0.592 0.318 0.582
Hf 0.771 0.958 0.170
Hf 0.950 0.601 0.804
Ge 0.204 0.093 0.417
Ge 0.796 0.907 0.583
Ir 0.401 0.699 0.053
Ir 0.599 0.301 0.947

It is x that is most stable; the runner-up trails by 68.3 kJ/mol of atoms.

## w
Computed, not measured: a relaxed structure of LaHfGe at the PBE level of DFT.

## Properties
**Crystal system**: trigonal

a = 4.671 Å, b = 4.671 Å, c = 4.167 Å
α = 90.00°, β = 90.00°, γ = 120.00°
Atoms (fractional coordinates):
La 0.000 0.000 0.000
Hf 0.667 0.333 0.500
Ge 0.333 0.667 0.506

## x
Computed, not measured: a relaxed structure of LaHfGe at the PBE level of DFT.

## Properties
**Crystal system**: tetragonal

a = 4.275 Å, b = 4.275 Å, c = 16.583 Å
α = 90.00°, β = 90.00°, γ = 90.00°
Atoms (fractional coordinates):
La 0.000 0.000 0.177
La 0.000 0.000 0.823
La 0.500 0.500 0.323
La 0.500 0.500 0.677
Hf 0.000 0.500 0.000
Hf 0.000 0.500 0.500
Hf 0.500 0.000 0.000
Hf 0.500 0.000 0.500
Ge 0.000 0.000 0.383
Ge 0.000 0.000 0.617
Ge 0.500 0.500 0.117
Ge 0.500 0.500 0.883

It is x that is most stable; the runner-up trails by 36.7 kJ/mol of atoms.

## w
Computed, not measured: a relaxed structure of LaHfGe2 at the PBE level of DFT.

## Properties
**Crystal system**: tetragonal

a = 5.779 Å, b = 5.779 Å, c = 15.241 Å
α = 90.00°, β = 90.00°, γ = 90.00°
Atoms (fractional coordinates):
La 0.000 0.000 0.000
La 0.000 0.500 0.250
La 0.500 0.000 0.750
La 0.500 0.500 0.500
Hf 0.000 0.000 0.500
Hf 0.000 0.500 0.750
Hf 0.500 0.000 0.250
Hf 0.500 0.500 0.000
Ge 0.176 0.250 0.625
Ge 0.250 0.676 0.875
Ge 0.250 0.824 0.375
Ge 0.324 0.250 0.125
Ge 0.676 0.750 0.125
Ge 0.750 0.176 0.375
Ge 0.750 0.324 0.875
Ge 0.824 0.750 0.625

## x
Computed, not measured: a relaxed structure of LaHfGe2 at the PBE level of DFT.

## Properties
**Crystal system**: cubic

a = 7.100 Å, b = 7.100 Å, c = 7.100 Å
α = 90.00°, β = 90.00°, γ = 90.00°
Atoms (fractional coordinates):
La 0.000 0.000 0.000
La 0.000 0.500 0.500
La 0.500 0.000 0.500
La 0.500 0.500 0.000
Hf 0.000 0.000 0.500
Hf 0.000 0.500 0.000
Hf 0.500 0.000 0.000
Hf 0.500 0.500 0.500
Ge 0.250 0.250 0.250
Ge 0.250 0.250 0.750
Ge 0.250 0.750 0.250
Ge 0.250 0.750 0.750
Ge 0.750 0.250 0.250
Ge 0.750 0.250 0.750
Ge 0.750 0.750 0.250
Ge 0.750 0.750 0.750

It is x that is most stable; the runner-up trails by 38.2 kJ/mol of atoms.

## w
Computed, not measured: a relaxed structure of LaHf3Ge at the PBE level of DFT.

## Properties
**Crystal system**: cubic

a = 5.121 Å, b = 5.121 Å, c = 5.121 Å
α = 90.00°, β = 90.00°, γ = 90.00°
Atoms (fractional coordinates):
La 0.000 0.000 0.000
Hf 0.000 0.500 0.500
Hf 0.500 0.000 0.500
Hf 0.500 0.500 0.000
Ge 0.500 0.500 0.500

## x
Computed, not measured: a relaxed structure of LaHf3Ge at the PBE level of DFT.

## Properties
**Crystal system**: cubic

a = 5.138 Å, b = 5.138 Å, c = 5.138 Å
α = 90.00°, β = 90.00°, γ = 90.00°
Atoms (fractional coordinates):
La 0.000 0.000 0.000
Hf 0.000 0.000 0.500
Hf 0.000 0.500 0.000
Hf 0.500 0.000 0.000
Ge 0.500 0.500 0.500

It is w that is most stable; the runner-up trails by 130.6 kJ/mol of atoms.

## w
Computed, not measured: a relaxed structure of La3HfGe at the PBE level of DFT.

## Properties
**Crystal system**: cubic

a = 5.615 Å, b = 5.615 Å, c = 5.615 Å
α = 90.00°, β = 90.00°, γ = 90.00°
Atoms (fractional coordinates):
La 0.000 0.000 0.500
La 0.000 0.500 0.000
La 0.500 0.000 0.000
Hf 0.000 0.000 0.000
Ge 0.500 0.500 0.500

## x
Computed, not measured: a relaxed structure of La3HfGe at the PBE level of DFT.

## Properties
**Crystal system**: cubic

a = 5.709 Å, b = 5.709 Å, c = 5.709 Å
α = 90.00°, β = 90.00°, γ = 90.00°
Atoms (fractional coordinates):
La 0.000 0.000 0.500
La 0.000 0.500 0.000
La 0.500 0.000 0.000
Hf 0.500 0.500 0.500
Ge 0.000 0.000 0.000

It is x that is most stable; the runner-up trails by 16.9 kJ/mol of atoms.

## w
Computed, not measured: a relaxed structure of LiHfGe2 at the PBE level of DFT.

## Properties
**Crystal system**: trigonal

a = 4.198 Å, b = 4.198 Å, c = 13.730 Å
α = 90.00°, β = 90.00°, γ = 120.00°
Atoms (fractional coordinates):
Li 0.000 0.000 0.000
Li 0.333 0.667 0.667
Li 0.667 0.333 0.333
Hf 0.000 0.000 0.500
Hf 0.333 0.667 0.167
Hf 0.667 0.333 0.833
Ge 0.000 0.000 0.266
Ge 0.000 0.000 0.734
Ge 0.333 0.667 0.400
Ge 0.333 0.667 0.933
Ge 0.667 0.333 0.067
Ge 0.667 0.333 0.600

## x
Computed, not measured: a relaxed structure of LiHfGe2 at the PBE level of DFT.

## Properties
**Crystal system**: tetragonal

a = 4.163 Å, b = 4.163 Å, c = 3.883 Å
α = 90.00°, β = 90.00°, γ = 90.00°
Atoms (fractional coordinates):
Li 0.000 0.000 0.000
Hf 0.500 0.500 0.000
Ge 0.000 0.500 0.500
Ge 0.500 0.000 0.500

## y
Computed, not measured: a relaxed structure of LiHfGe2 at the PBE level of DFT.

## Properties
**Crystal system**: tetragonal

a = 3.298 Å, b = 3.298 Å, c = 6.212 Å
α = 90.00°, β = 90.00°, γ = 90.00°
Atoms (fractional coordinates):
Li 0.000 0.000 0.000
Hf 0.000 0.000 0.500
Ge 0.500 0.500 0.222
Ge 0.500 0.500 0.778

It is x that is most stable; the runner-up trails by 5.6 kJ/mol of atoms.

## w
Computed, not measured: a relaxed structure of Li2HfGe2 at the PBE level of DFT.

## Properties
**Crystal system**: tetragonal

a = 3.752 Å, b = 3.752 Å, c = 11.682 Å
α = 90.00°, β = 90.00°, γ = 90.00°
Atoms (fractional coordinates):
Li 0.000 0.500 0.250
Li 0.000 0.500 0.750
Li 0.500 0.000 0.250
Li 0.500 0.000 0.750
Hf 0.000 0.000 0.000
Hf 0.500 0.500 0.500
Ge 0.000 0.000 0.396
Ge 0.000 0.000 0.604
Ge 0.500 0.500 0.104
Ge 0.500 0.500 0.896

## x
Computed, not measured: a relaxed structure of Li2HfGe2 at the PBE level of DFT.

## Properties
**Crystal system**: tetragonal

a = 7.483 Å, b = 7.483 Å, c = 2.845 Å
α = 90.00°, β = 90.00°, γ = 90.00°
Atoms (fractional coordinates):
Li 0.111 0.389 0.000
Li 0.389 0.889 0.000
Li 0.611 0.111 0.000
Li 0.889 0.611 0.000
Hf 0.000 0.000 0.000
Hf 0.500 0.500 0.000
Ge 0.185 0.685 0.500
Ge 0.315 0.185 0.500
Ge 0.685 0.815 0.500
Ge 0.815 0.315 0.500

## y
Computed, not measured: a relaxed structure of Li2HfGe2 at the PBE level of DFT.

## Properties
**Crystal system**: tetragonal

a = 7.599 Å, b = 7.599 Å, c = 2.956 Å
α = 90.00°, β = 90.00°, γ = 90.00°
Atoms (fractional coordinates):
Li 0.125 0.375 0.000
Li 0.375 0.875 0.000
Li 0.625 0.125 0.000
Li 0.875 0.625 0.000
Hf 0.000 0.000 0.500
Hf 0.500 0.500 0.500
Ge 0.173 0.673 0.500
Ge 0.327 0.173 0.500
Ge 0.673 0.827 0.500
Ge 0.827 0.327 0.500

It is w that is most stable; the runner-up trails by 7.1 kJ/mol of atoms.

## w
Computed, not measured: a relaxed structure of Li3HfGe at the PBE level of DFT.

## Properties
**Crystal system**: cubic

a = 4.483 Å, b = 4.483 Å, c = 4.483 Å
α = 90.00°, β = 90.00°, γ = 90.00°
Atoms (fractional coordinates):
Li 0.000 0.000 0.500
Li 0.000 0.500 0.000
Li 0.500 0.000 0.000
Hf 0.500 0.500 0.500
Ge 0.000 0.000 0.000

## x
Computed, not measured: a relaxed structure of Li3HfGe at the PBE level of DFT.

## Properties
**Crystal system**: cubic

a = 5.125 Å, b = 5.125 Å, c = 5.125 Å
α = 90.00°, β = 90.00°, γ = 90.00°
Atoms (fractional coordinates):
Li 0.000 0.000 0.500
Li 0.000 0.500 0.000
Li 0.500 0.000 0.000
Hf 0.000 0.000 0.000
Ge 0.500 0.500 0.500

It is w that is most stable; the runner-up trails by 88.1 kJ/mol of atoms.

## w
Computed, not measured: a relaxed structure of Li2Hf2Ge at the PBE level of DFT.

## Properties
**Crystal system**: tetragonal

a = 4.136 Å, b = 4.136 Å, c = 10.830 Å
α = 90.00°, β = 90.00°, γ = 90.00°
Atoms (fractional coordinates):
Li 0.000 0.000 0.083
Li 0.000 0.000 0.917
Li 0.500 0.500 0.417
Li 0.500 0.500 0.583
Hf 0.000 0.500 0.250
Hf 0.000 0.500 0.750
Hf 0.500 0.000 0.250
Hf 0.500 0.000 0.750
Ge 0.000 0.000 0.500
Ge 0.500 0.500 0.000

## x
Computed, not measured: a relaxed structure of Li2Hf2Ge at the PBE level of DFT.

## Properties
**Crystal system**: tetragonal

a = 6.251 Å, b = 6.251 Å, c = 4.315 Å
α = 90.00°, β = 90.00°, γ = 90.00°
Atoms (fractional coordinates):
Li 0.132 0.368 0.000
Li 0.368 0.868 0.000
Li 0.632 0.132 0.000
Li 0.868 0.632 0.000
Hf 0.173 0.673 0.500
Hf 0.327 0.173 0.500
Hf 0.673 0.827 0.500
Hf 0.827 0.327 0.500
Ge 0.000 0.000 0.000
Ge 0.500 0.500 0.000

It is x that is most stable; the runner-up trails by 45.2 kJ/mol of atoms.